ScTl2Hg: relaxed, PBE-GGA.

Calculated values
Total DFT energy (no corrections) in eV per atom: -2.804

Geometry as POSCAR:
```
ScTl2Hg
1.0
-4.0914 4.0914 3.1773
4.0914 -4.0914 3.1773
4.0914 4.0914 -3.1773
Sc Tl Hg
2 4 2
Cartesian
0.0000 0.0000 0.0000
0.0000 4.0914 1.5887
2.0457 -2.0009 2.3830
2.0905 2.0457 0.7943
2.0457 6.0923 -0.7943
2.0009 2.0457 3.9717
4.0914 0.0000 1.5887
0.0000 0.0000 3.1773
```

SrBeN2: relaxed, PBE-GGA.

Calculated values
Uncorrected formation energy in meV per atom: -393

Geometry as POSCAR:
```
SrBeN2
1.0
-2.1299 2.1299 5.3345
2.1299 -2.1299 5.3345
2.1299 2.1299 -5.3345
Sr Be N
2 2 4
Cartesian
2.1299 1.0650 1.3336
0.0000 1.0650 4.0008
2.1299 -1.0650 4.0008
0.0000 3.1949 1.3336
0.0000 0.0000 0.0000
1.0650 1.0650 -2.6672
1.0650 -1.0650 2.6672
0.0000 2.1299 0.0000
```

BeAg2GeO4: relaxed, PBE-GGA.

Calculated values
Uncorrected formation energy in meV per atom: -1309

Geometry as POSCAR:
```
BeAg2GeO4
1.0
-2.5011 2.5011 3.9086
2.5011 -2.5011 3.9086
2.5011 2.5011 -3.9086
Be Ag Ge O
1 2 1 4
Cartesian
0.0000 0.0000 0.0000
0.0000 0.0000 3.9086
0.0000 2.5011 1.9543
2.5011 0.0000 1.9543
1.8342 -1.3015 2.9745
1.1996 0.6669 0.9342
0.6669 3.8026 -0.9342
1.3015 1.8342 4.8428
```

no.,ρ (Mg/m³)
1,10.214
2,4.276
3,6.136